Record 1
The following is a DFT calculation (PBE) of crystalline Cr3FePb at its relaxed geometry.

Geometry as CIF:
```
data_Cr3FePb
_chemical_formula_sum 'Cr3 Fe1 Pb1'
_cell_length_a 4.423
_cell_length_b 4.423
_cell_length_c 4.423
_cell_angle_alpha 90.00
_cell_angle_beta 90.00
_cell_angle_gamma 90.00
_space_group_name_H-M_alt 'P 1'
_space_group_IT_number 1
_space_group_name_Hall 'P 1'
loop_
_atom_site_label
_atom_site_fract_x
_atom_site_fract_y
_atom_site_fract_z
Cr1 0.000 0.000 0.500
Cr2 0.000 0.500 0.000
Cr3 0.500 0.000 0.000
Fe1 0.000 0.000 0.000
Pb1 0.500 0.500 0.500
```

ΔH_f (0 K): 0.962 eV/atom
final energy: -7.2460 eV per atom
ΔE to the lowest computed polymorph: 0.000 eV per atom
crystal system: cubic
D(E_F): 7.6 states/eV per cell

***

Record 2
The following is a DFT calculation (PBE) of crystalline CrFePb3 at its relaxed geometry.

Geometry as CIF:
```
data_CrFePb3
_chemical_formula_sum 'Cr1 Fe1 Pb3'
_cell_length_a 5.099
_cell_length_b 5.099
_cell_length_c 5.099
_cell_angle_alpha 90.00
_cell_angle_beta 90.00
_cell_angle_gamma 90.00
_space_group_name_H-M_alt 'P 1'
_space_group_IT_number 1
_space_group_name_Hall 'P 1'
loop_
_atom_site_label
_atom_site_fract_x
_atom_site_fract_y
_atom_site_fract_z
Cr1 0.000 0.000 0.000
Fe1 0.500 0.500 0.500
Pb1 0.000 0.500 0.500
Pb2 0.500 0.000 0.500
Pb3 0.500 0.500 0.000
```

ΔH_f (0 K): 0.718 eV/atom
final energy: -5.1240 eV per atom
ΔE to the lowest computed polymorph: 0.000 eV per atom
crystal system: cubic
D(E_F): 3.2 states/eV per cell